Sr2Cd6HgRh PBE-GGA relaxed; mass density = 6.85 g cm⁻³; formation energy from the elements = -0.213 eV per atom; space-group type = Pmmn, No. 59; total magnetic moment = 0.0 μB per cell; N(E_F) = 0.48 states/eV per atom
1.0
7.995 0.000 0.000
0.000 7.196 0.000
0.000 0.000 9.720
Sr Cd Hg Rh
4 12 2 2
Direct
0.500 0.740 0.720
0.000 0.260 0.220
0.500 0.740 0.280
0.000 0.260 0.780
0.183 0.949 0.500
0.694 0.375 0.500
0.500 0.223 0.249
0.306 0.375 0.500
0.500 0.223 0.751
0.683 0.051 0.000
0.194 0.625 0.000
0.000 0.777 0.749
0.317 0.051 0.000
0.000 0.777 0.251
0.817 0.949 0.500
0.806 0.625 0.000
0.500 0.439 0.000
0.000 0.561 0.500
0.500 0.060 0.500
0.000 0.940 0.000